Entry 1:
The following is a DFT calculation (GGA-PBE) of a relaxed structure of SrAgGe2O6.

Output
The density of states at the Fermi level is 0.146 states/eV/atom. Its uncorrected energy is -119.0 eV for the cell shown. Its crystal system is monoclinic. The total magnetic moment is 0.10 μB/atom.

Cell: 7.6382 7.6382 5.8715 Å, 105.31 105.31 84.75°
Element x y z (fractional)
Sr1 0.1126 0.8874 0.7500
Sr2 0.8874 0.1126 0.2500
Ag1 0.2746 0.7254 0.2500
Ag2 0.7254 0.2746 0.7500
Ge1 0.2097 0.3716 0.8273
Ge2 0.3716 0.2097 0.3273
Ge3 0.6284 0.7903 0.6727
Ge4 0.7903 0.6284 0.1727
O1 0.0386 0.2124 0.6901
O2 0.1476 0.6037 0.8782
O3 0.2124 0.0386 0.1901
O4 0.3323 0.3672 0.1349
O5 0.3672 0.3323 0.6350
O6 0.3963 0.8524 0.6218
O7 0.6037 0.1476 0.3782
O8 0.6328 0.6677 0.3650
O9 0.6677 0.6328 0.8650
O10 0.7876 0.9614 0.8099
O11 0.8524 0.3963 0.1218
O12 0.9614 0.7876 0.3099

***

Entry 2:
The following is a DFT calculation (GGA-PBE) of a relaxed structure of RbTaAgGe2.

Output
The energy of formation is 7.4 eV/f.u. The density of states at the Fermi level is 1.123 states/eV/atom. Its uncorrected energy is -17.5 eV for the cell shown. Its crystal system is tetragonal. The total magnetic moment is 0.58 μB/atom.

Cell: 5.0418 5.0418 5.5320 Å, 90.00 90.00 90.00°
Element x y z (fractional)
Rb1 0.0000 0.0000 0.0000
Ta1 0.5000 0.5000 0.0000
Ag1 0.0000 0.0000 0.5000
Ge1 0.0000 0.5000 0.5000
Ge2 0.5000 0.0000 0.5000

***

Q: The lowest uncorrected energy belongs to which entry?
A: SrAgGe2O6

***

Q: uncorrected energy of number 2 (RbTaAgGe2)?
A: -17.5 eV for the cell shown

***

Q: Which value of uncorrected energy does entry 2 give?
A: -17.5 eV for the cell shown

***

Q: Among the records above, which one has the lowest total magnetic moment?
A: SrAgGe2O6